Below is crystalline KZnIn2Os at its relaxed geometry, with properties calculated at the PBE level.

Computed properties:
Formation enthalpy at 0 K: 1.300 kcal/mol of atoms
D(E_F): 1.405 states/eV/f.u.
Theoretical density: 6.38 g/cm3

a = 5.216 Å, b = 5.216 Å, c = 5.019 Å
α = 90.00°, β = 90.00°, γ = 90.00°
Element x y z (fractional)
Zn (0.000, 0.000, 0.500)
Os (0.000, 0.000, 0.000)
K (0.500, 0.500, 0.500)
In (0.000, 0.500, 0.000)
In (0.500, 0.000, 0.000)

Below is crystalline Ho4CuNiRu2 at its relaxed geometry, with properties calculated at the PBE level.

Computed properties:
Formation enthalpy at 0 K: -9.173 kcal/mol of atoms
D(E_F): 2.936 states/eV/f.u.
Theoretical density: 10.44 g/cm3

a = 4.799 Å, b = 4.799 Å, c = 8.322 Å
α = 73.24°, β = 73.24°, γ = 60.00°
Element x y z (fractional)
Ho (0.376, 0.376, 0.871)
Ho (0.874, 0.874, 0.378)
Ho (0.126, 0.126, 0.622)
Ho (0.624, 0.624, 0.129)
Cu (0.000, 0.000, 0.000)
Ni (0.500, 0.500, 0.500)
Ru (0.750, 0.750, 0.751)
Ru (0.250, 0.250, 0.249)

Below is crystalline MgCd5Sn at its relaxed geometry, with properties calculated at the PBE level.

Computed properties:
Formation enthalpy at 0 K: 0.981 kcal/mol of atoms
D(E_F): 2.303 states/eV/f.u.
Theoretical density: 6.81 g/cm3

a = 7.635 Å, b = 6.996 Å, c = 6.996 Å
α = 88.72°, β = 106.24°, γ = 106.24°
Element x y z (fractional)
Mg (0.000, 0.000, 0.000)
Mg (0.500, 0.500, 0.500)
Cd (0.614, 0.943, 0.701)
Cd (0.603, 0.802, 0.172)
Cd (0.114, 0.201, 0.443)
Cd (0.750, 0.579, 0.921)
Cd (0.897, 0.328, 0.698)
Cd (0.103, 0.672, 0.302)
Cd (0.250, 0.421, 0.079)
Cd (0.886, 0.799, 0.557)
Cd (0.397, 0.198, 0.828)
Cd (0.386, 0.057, 0.299)
Sn (0.750, 0.273, 0.227)
Sn (0.250, 0.727, 0.773)

formation enthalpy at 0 K of number 2 (Ho4CuNiRu2)? -9.173 kcal/mol of atoms

Look up the D(E_F) of the third one. 2.303 states/eV/f.u.